# 1
# GGA-PBE SbTe2AuN, relaxed
data_SbTe2AuN
_space_group_name_H-M_alt 'P 4/m m m'
_space_group_IT_number 123
_space_group_name_Hall '-P 4 2'
_cell_length_a 5.656
_cell_length_b 5.656
_cell_length_c 3.949
_cell_angle_alpha 90.00
_cell_angle_beta 90.00
_cell_angle_gamma 90.00
loop_
_atom_site_label
_atom_site_type_symbol
_atom_site_fract_x
_atom_site_fract_y
_atom_site_fract_z
Sb1 Sb 0.000 0.000 0.000
Te1 Te 0.000 0.500 0.500
Au1 Au 0.500 0.500 0.500
N1 N 0.500 0.500 0.000
# - ΔE to the lowest computed polymorph: 0.088 eV/atom
# - Size of the total moment: 1.61 μB per formula unit


# 2
# GGA-PBE SbTe2AuN, relaxed
data_SbTe2AuN
_space_group_name_H-M_alt 'P 4/m m m'
_space_group_IT_number 123
_space_group_name_Hall '-P 4 2'
_cell_length_a 5.407
_cell_length_b 5.407
_cell_length_c 5.350
_cell_angle_alpha 90.00
_cell_angle_beta 90.00
_cell_angle_gamma 90.00
loop_
_atom_site_label
_atom_site_type_symbol
_atom_site_fract_x
_atom_site_fract_y
_atom_site_fract_z
Sb1 Sb 0.000 0.000 0.000
Te1 Te 0.000 0.500 0.500
Au1 Au 0.000 0.000 0.500
N1 N 0.500 0.500 0.000
# - ΔE to the lowest computed polymorph: 1.011 eV/atom
# - Size of the total moment: 0.00 μB per formula unit


# 3
# GGA-PBE SbTe2AuN, relaxed
data_SbTe2AuN
_space_group_name_H-M_alt 'P 4/m m m'
_space_group_IT_number 123
_space_group_name_Hall '-P 4 2'
_cell_length_a 4.818
_cell_length_b 4.818
_cell_length_c 4.741
_cell_angle_alpha 90.00
_cell_angle_beta 90.00
_cell_angle_gamma 90.00
loop_
_atom_site_label
_atom_site_type_symbol
_atom_site_fract_x
_atom_site_fract_y
_atom_site_fract_z
Sb1 Sb 0.000 0.000 0.000
Te1 Te 0.000 0.500 0.500
Au1 Au 0.500 0.500 0.000
N1 N 0.000 0.000 0.500
# - ΔE to the lowest computed polymorph: 0.000 eV/atom
# - Size of the total moment: 0.00 μB per formula unit


# 4
# GGA-PBE SbTe2AuN, relaxed
data_SbTe2AuN
_space_group_name_H-M_alt 'P 4/m m m'
_space_group_IT_number 123
_space_group_name_Hall '-P 4 2'
_cell_length_a 5.841
_cell_length_b 5.841
_cell_length_c 3.861
_cell_angle_alpha 90.00
_cell_angle_beta 90.00
_cell_angle_gamma 90.00
loop_
_atom_site_label
_atom_site_type_symbol
_atom_site_fract_x
_atom_site_fract_y
_atom_site_fract_z
Sb1 Sb 0.000 0.000 0.000
Te1 Te 0.000 0.500 0.000
Au1 Au 0.500 0.500 0.500
N1 N 0.000 0.000 0.500
# - ΔE to the lowest computed polymorph: 0.205 eV/atom
# - Size of the total moment: 0.00 μB per formula unit


# 5
# GGA-PBE Sc2AuN, relaxed
data_Sc2AuN
_space_group_name_H-M_alt 'R -3 m'
_space_group_IT_number 166
_space_group_name_Hall '-R 3 2"'
_cell_length_a 3.2505
_cell_length_b 3.2505
_cell_length_c 21.0687
_cell_angle_alpha 90.00
_cell_angle_beta 90.00
_cell_angle_gamma 120.00
loop_
_atom_site_label
_atom_site_type_symbol
_atom_site_fract_x
_atom_site_fract_y
_atom_site_fract_z
Sc1 Sc 0.0000 0.0000 0.2256
Au1 Au 0.0000 0.0000 0.0000
N1 N 0.0000 0.0000 0.5000
# - Raw total energy: -7.27 eV/atom
# - Size of the total moment: 0.00 μB per formula unit


# 6
# GGA-PBE ScAu2N, relaxed
data_ScAu2N
_space_group_name_H-M_alt 'I -4 2 d'
_space_group_IT_number 122
_space_group_name_Hall 'I -4 2bw'
_cell_length_a 5.900
_cell_length_b 5.900
_cell_length_c 9.393
_cell_angle_alpha 90.00
_cell_angle_beta 90.00
_cell_angle_gamma 90.00
loop_
_atom_site_label
_atom_site_type_symbol
_atom_site_fract_x
_atom_site_fract_y
_atom_site_fract_z
Sc1 Sc 0.000 0.000 0.000
Au1 Au 0.172 0.250 0.625
N1 N 0.000 0.000 0.500
# - ΔE to the lowest computed polymorph: 0.020 eV/atom
# - Size of the total moment: 0.00 μB per formula unit


# 7
# GGA-PBE Sc2AuN, relaxed
data_Sc2AuN
_space_group_name_H-M_alt 'I -4 2 d'
_space_group_IT_number 122
_space_group_name_Hall 'I -4 2bw'
_cell_length_a 6.175
_cell_length_b 6.175
_cell_length_c 7.802
_cell_angle_alpha 90.00
_cell_angle_beta 90.00
_cell_angle_gamma 90.00
loop_
_atom_site_label
_atom_site_type_symbol
_atom_site_fract_x
_atom_site_fract_y
_atom_site_fract_z
Sc1 Sc 0.159 0.250 0.125
Au1 Au 0.000 0.000 0.500
N1 N 0.000 0.000 0.000
# - Raw total energy: -7.14 eV/atom
# - Size of the total moment: 0.00 μB per formula unit


# 8
# GGA-PBE ScAu2N, relaxed
data_ScAu2N
_space_group_name_H-M_alt 'F m -3 m'
_space_group_IT_number 225
_space_group_name_Hall '-F 4 2 3'
_cell_length_a 6.409
_cell_length_b 6.409
_cell_length_c 6.409
_cell_angle_alpha 90.00
_cell_angle_beta 90.00
_cell_angle_gamma 90.00
loop_
_atom_site_label
_atom_site_type_symbol
_atom_site_fract_x
_atom_site_fract_y
_atom_site_fract_z
Sc1 Sc 0.000 0.000 0.000
Au1 Au 0.250 0.250 0.250
N1 N 0.000 0.000 0.500
# - ΔE to the lowest computed polymorph: 0.000 eV/atom
# - Size of the total moment: 0.00 μB per formula unit


# 9
# GGA-PBE ScAuN3, relaxed
data_ScAuN3
_space_group_name_H-M_alt 'P m -3 m'
_space_group_IT_number 221
_space_group_name_Hall '-P 4 2 3'
_cell_length_a 4.121
_cell_length_b 4.121
_cell_length_c 4.121
_cell_angle_alpha 90.00
_cell_angle_beta 90.00
_cell_angle_gamma 90.00
loop_
_atom_site_label
_atom_site_type_symbol
_atom_site_fract_x
_atom_site_fract_y
_atom_site_fract_z
Sc1 Sc 0.000 0.000 0.000
Au1 Au 0.500 0.500 0.500
N1 N 0.000 0.000 0.500
# - Raw total energy: -5.44 eV/atom
# - Size of the total moment: 0.00 μB per formula unit


# 10
# GGA-PBE Sc4Au2N, relaxed
data_Sc4Au2N
_space_group_name_H-M_alt 'I 4/m m m'
_space_group_IT_number 139
_space_group_name_Hall '-I 4 2'
_cell_length_a 4.363
_cell_length_b 4.363
_cell_length_c 13.980
_cell_angle_alpha 90.00
_cell_angle_beta 90.00
_cell_angle_gamma 90.00
loop_
_atom_site_label
_atom_site_type_symbol
_atom_site_fract_x
_atom_site_fract_y
_atom_site_fract_z
Sc1 Sc 0.000 0.000 0.170
Sc2 Sc 0.000 0.500 0.000
Au1 Au 0.000 0.000 0.364
N1 N 0.000 0.000 0.000
# - Raw total energy: -6.70 eV/atom
# - Size of the total moment: 0.02 μB per formula unit


# 11
# GGA-PBE Sc2AuN, relaxed
data_Sc2AuN
_space_group_name_H-M_alt 'F m -3 m'
_space_group_IT_number 225
_space_group_name_Hall '-F 4 2 3'
_cell_length_a 6.419
_cell_length_b 6.419
_cell_length_c 6.419
_cell_angle_alpha 90.00
_cell_angle_beta 90.00
_cell_angle_gamma 90.00
loop_
_atom_site_label
_atom_site_type_symbol
_atom_site_fract_x
_atom_site_fract_y
_atom_site_fract_z
Sc1 Sc 0.250 0.250 0.250
Au1 Au 0.000 0.000 0.000
N1 N 0.000 0.000 0.500
# - Raw total energy: -6.20 eV/atom
# - Size of the total moment: 1.19 μB per formula unit


# 12
# GGA-PBE ScAuN3, relaxed
data_ScAuN3
_space_group_name_H-M_alt 'P m -3 m'
_space_group_IT_number 221
_space_group_name_Hall '-P 4 2 3'
_cell_length_a 4.000
_cell_length_b 4.000
_cell_length_c 4.000
_cell_angle_alpha 90.00
_cell_angle_beta 90.00
_cell_angle_gamma 90.00
loop_
_atom_site_label
_atom_site_type_symbol
_atom_site_fract_x
_atom_site_fract_y
_atom_site_fract_z
Sc1 Sc 0.000 0.000 0.000
Au1 Au 0.500 0.500 0.500
N1 N 0.000 0.500 0.500
# - Raw total energy: -5.50 eV/atom
# - Size of the total moment: 0.00 μB per formula unit


no.,D(E_F) (states/eV/f.u.)
1,3.2
2,9.0
3,4.4
4,4.0
5,3.2
6,0.6
7,0.1
8,1.8
9,5.6
10,11.1
11,4.4
12,4.0